Material: Co2SnGeO6
Method: DFT, PBE with a Hubbard U
State: relaxed

As for the total energy: -61.45 eV per formula unit. Its size of the total moment is 0.400 μB/atom.

The space group is P1 (No. 1) and the conventional cell measures 5.145, 5.198 and 5.447 Å, with angles of 62.14, 62.57 and 60.33 degrees. The distinct sites, in fractional coordinates, are Co at (0.000, 0.000, 0.000), Co at (0.488, 0.493, 0.535), Sn at (0.283, 0.285, 0.149), Ge at (0.787, 0.794, 0.631), O at (0.058, 0.686, 0.836), O at (0.182, 0.589, 0.348), O at (0.418, 0.064, 0.830), O at (0.591, 0.888, 0.348), O at (0.686, 0.422, 0.819) and O at (0.890, 0.170, 0.348).